Record 1
A plane-wave DFT calculation with PBE with a Hubbard U was carried out for a relaxed CoHgAsO crystal.

```
data_CoHgAsO
_chemical_formula_sum 'Co2 Hg2 As2 O2'
_space_group_name_H-M_alt 'P 1'
_space_group_IT_number 1
_space_group_name_Hall 'P 1'
_cell_length_a 4.071
_cell_length_b 4.071
_cell_length_c 9.404
_cell_angle_alpha 90.00
_cell_angle_beta 90.00
_cell_angle_gamma 90.00
loop_
_atom_site_label
_atom_site_type_symbol
_atom_site_fract_x
_atom_site_fract_y
_atom_site_fract_z
_atom_site_occupancy
Co1 Co 0.250 0.250 0.039 1
Co2 Co 0.750 0.750 0.961 1
Hg1 Hg 0.250 0.750 0.500 1
Hg2 Hg 0.750 0.250 0.500 1
As1 As 0.250 0.250 0.302 1
As2 As 0.750 0.750 0.698 1
O1 O 0.250 0.750 0.000 1
O2 O 0.750 0.250 0.000 1
```

Record 2
A plane-wave DFT calculation with PBE with a Hubbard U was carried out for a relaxed CoHgAsO crystal.

```
data_CoHgAsO
_chemical_formula_sum 'Co2 Hg2 As2 O2'
_space_group_name_H-M_alt 'P 1'
_space_group_IT_number 1
_space_group_name_Hall 'P 1'
_cell_length_a 3.714
_cell_length_b 6.973
_cell_length_c 5.883
_cell_angle_alpha 90.00
_cell_angle_beta 90.00
_cell_angle_gamma 90.00
loop_
_atom_site_label
_atom_site_type_symbol
_atom_site_fract_x
_atom_site_fract_y
_atom_site_fract_z
_atom_site_occupancy
Co1 Co 0.000 0.125 0.000 1
Co2 Co 0.000 0.875 0.500 1
Hg1 Hg 0.500 0.311 0.410 1
Hg2 Hg 0.500 0.689 0.910 1
As1 As 0.500 0.317 0.874 1
As2 As 0.500 0.683 0.374 1
O1 O 0.000 0.103 0.325 1
O2 O 0.000 0.897 0.825 1
```

Record 3
A plane-wave DFT calculation with PBE with a Hubbard U was carried out for a relaxed CoHgAsO crystal.

```
data_CoHgAsO
_chemical_formula_sum 'Co2 Hg2 As2 O2'
_space_group_name_H-M_alt 'P 1'
_space_group_IT_number 1
_space_group_name_Hall 'P 1'
_cell_length_a 4.126
_cell_length_b 4.126
_cell_length_c 7.270
_cell_angle_alpha 90.00
_cell_angle_beta 90.00
_cell_angle_gamma 90.00
loop_
_atom_site_label
_atom_site_type_symbol
_atom_site_fract_x
_atom_site_fract_y
_atom_site_fract_z
_atom_site_occupancy
Co1 Co 0.250 0.750 0.000 1
Co2 Co 0.750 0.250 0.000 1
Hg1 Hg 0.250 0.250 0.359 1
Hg2 Hg 0.750 0.750 0.641 1
As1 As 0.250 0.250 0.856 1
As2 As 0.750 0.750 0.144 1
O1 O 0.250 0.750 0.500 1
O2 O 0.750 0.250 0.500 1
```

Record 4
A plane-wave DFT calculation with PBE with a Hubbard U was carried out for a relaxed CoHgAsO crystal.

```
data_CoHgAsO
_chemical_formula_sum 'Co2 Hg2 As2 O2'
_space_group_name_H-M_alt 'P 1'
_space_group_IT_number 1
_space_group_name_Hall 'P 1'
_cell_length_a 3.139
_cell_length_b 7.108
_cell_length_c 6.528
_cell_angle_alpha 90.00
_cell_angle_beta 90.00
_cell_angle_gamma 90.00
loop_
_atom_site_label
_atom_site_type_symbol
_atom_site_fract_x
_atom_site_fract_y
_atom_site_fract_z
_atom_site_occupancy
Co1 Co 0.000 0.221 0.000 1
Co2 Co 0.000 0.779 0.500 1
Hg1 Hg 0.500 0.327 0.572 1
Hg2 Hg 0.500 0.673 0.072 1
As1 As 0.000 0.094 0.345 1
As2 As 0.000 0.906 0.845 1
O1 O 0.500 0.365 0.931 1
O2 O 0.500 0.635 0.431 1
```

Number 1: energy relative to the lowest polymorph listed for this composition 39 meV per atom, total moment 2.81 μB/f.u.. Number 2: energy relative to the lowest polymorph listed for this composition 11 meV per atom, total moment 2.11 μB/f.u.. Number 3: energy relative to the lowest polymorph listed for this composition 435 meV per atom, total moment 0.63 μB/f.u.. Number 4: energy relative to the lowest polymorph listed for this composition 0 meV per atom, total moment 2.74 μB/f.u..